{"formula": "Ac4CuRhI2", "functional": "PBE-GGA", "state": "relaxed", "lattice": [[7.663, 0.000, 0.000], [0.000, 4.470, 0.000], [-2.594, 0.000, 8.628]], "species": ["Ac", "Ac", "Ac", "Ac", "Cu", "Rh", "I", "I"], "frac_coords": [[0.223, 0.000, 0.185], [0.262, 0.500, 0.815], [0.738, 0.500, 0.185], [0.777, 0.000, 0.815], [0.500, 0.000, 0.000], [0.000, 0.500, 0.000], [0.000, 0.000, 0.500], [0.500, 0.500, 0.500]], "energy_ev_per_cell": -37.4, "magmom_total_mub_per_fu": 0.00, "space_group": "P2/m"}

---

{"formula": "Ac8CuRh3I4", "functional": "PBE-GGA", "state": "relaxed", "lattice": [[4.412, 2.547, 8.664], [-4.412, 2.547, 8.664], [0.000, -5.095, 8.664]], "species": ["Ac", "Ac", "Ac", "Ac", "Ac", "Ac", "Ac", "Ac", "Cu", "Rh", "Rh", "Rh", "I", "I", "I", "I"], "frac_coords": [[0.221, 0.732, 0.732], [0.229, 0.229, 0.229], [0.268, 0.268, 0.779], [0.268, 0.779, 0.268], [0.732, 0.221, 0.732], [0.732, 0.732, 0.221], [0.771, 0.771, 0.771], [0.779, 0.268, 0.268], [0.500, 0.500, 0.500], [0.000, 0.000, 0.500], [0.000, 0.500, 0.000], [0.500, 0.000, 0.000], [0.000, 0.000, 0.000], [0.000, 0.500, 0.500], [0.500, 0.000, 0.500], [0.500, 0.500, 0.000]], "energy_ev_per_cell": -80.0, "magmom_total_mub_per_fu": 0.00, "space_group": "R-3m"}

---

{"formula": "Ac4CuRuI2", "functional": "PBE-GGA", "state": "relaxed", "lattice": [[7.633, 0.000, 0.000], [0.000, 4.419, 0.000], [-2.555, 0.000, 8.660]], "species": ["Ac", "Ac", "Ac", "Ac", "Cu", "Ru", "I", "I"], "frac_coords": [[0.219, 0.000, 0.186], [0.257, 0.500, 0.814], [0.743, 0.500, 0.186], [0.781, 0.000, 0.814], [0.500, 0.000, 0.000], [0.000, 0.500, 0.000], [0.000, 0.000, 0.500], [0.500, 0.500, 0.500]], "energy_ev_per_cell": -38.4, "magmom_total_mub_per_fu": 0.00, "space_group": "P2/m"}

---

{"formula": "Ac8CuSi3I4", "functional": "PBE-GGA", "state": "relaxed", "lattice": [[4.588, 2.649, 8.105], [-4.588, 2.649, 8.105], [0.000, -5.298, 8.105]], "species": ["Ac", "Ac", "Ac", "Ac", "Ac", "Ac", "Ac", "Ac", "Cu", "Si", "Si", "Si", "I", "I", "I", "I"], "frac_coords": [[0.234, 0.234, 0.234], [0.236, 0.733, 0.733], [0.267, 0.267, 0.764], [0.267, 0.764, 0.267], [0.733, 0.236, 0.733], [0.733, 0.733, 0.236], [0.764, 0.267, 0.267], [0.766, 0.766, 0.766], [0.500, 0.500, 0.500], [0.000, 0.000, 0.500], [0.000, 0.500, 0.000], [0.500, 0.000, 0.000], [0.000, 0.000, 0.000], [0.000, 0.500, 0.500], [0.500, 0.000, 0.500], [0.500, 0.500, 0.000]], "energy_ev_per_cell": -72.4, "magmom_total_mub_per_fu": 0.00, "space_group": "R-3m"}

---

{"formula": "Ac6InCu2", "functional": "PBE-GGA", "state": "relaxed", "lattice": [[-5.074, 5.527, 5.702], [5.074, -5.527, 5.702], [5.074, 5.527, -5.702]], "species": ["Ac", "Ac", "Ac", "Ac", "Ac", "Ac", "Ac", "Ac", "Ac", "Ac", "Ac", "Ac", "In", "In", "Cu", "Cu", "Cu", "Cu"], "frac_coords": [[0.043, 0.234, 0.808], [0.181, 0.287, 0.469], [0.181, 0.713, 0.894], [0.326, 0.016, 0.690], [0.326, 0.637, 0.310], [0.426, 0.234, 0.192], [0.574, 0.766, 0.808], [0.674, 0.363, 0.690], [0.674, 0.984, 0.310], [0.819, 0.287, 0.106], [0.819, 0.713, 0.531], [0.957, 0.766, 0.192], [0.000, 0.000, 0.000], [0.500, 0.500, 0.000], [0.114, 0.614, 0.500], [0.344, 0.000, 0.344], [0.656, 0.000, 0.656], [0.886, 0.386, 0.500]], "magmom_total_mub_per_fu": 0.00, "space_group": "Immm", "formation_enthalpy_0k_ev_per_atom": -0.14}

---

{"formula": "Ac2In2Cu", "functional": "PBE-GGA", "state": "relaxed", "lattice": [[5.811, -2.467, 0.000], [5.811, 2.467, 0.000], [-5.766, 0.000, 10.563]], "species": ["Ac", "Ac", "Ac", "Ac", "In", "In", "In", "In", "Cu", "Cu"], "frac_coords": [[0.015, 0.015, 0.336], [0.189, 0.189, 0.110], [0.811, 0.811, 0.890], [0.985, 0.985, 0.664], [0.348, 0.348, 0.439], [0.489, 0.489, 0.122], [0.511, 0.511, 0.878], [0.652, 0.652, 0.561], [0.273, 0.273, 0.651], [0.727, 0.727, 0.349]], "magmom_total_mub_per_fu": 0.00, "space_group": "C2/m", "formation_enthalpy_0k_ev_per_atom": -0.33}

---

{"formula": "Ac3InCu2", "functional": "PBE-GGA", "state": "relaxed", "lattice": [[4.707, 0.000, 0.000], [0.000, 10.017, 0.000], [0.000, 0.000, 7.820]], "species": ["Ac", "Ac", "Ac", "Ac", "Ac", "Ac", "In", "In", "Cu", "Cu", "Cu", "Cu"], "frac_coords": [[0.000, 0.064, 0.000], [0.000, 0.936, 0.500], [0.500, 0.264, 0.368], [0.500, 0.353, 0.850], [0.500, 0.647, 0.350], [0.500, 0.736, 0.868], [0.000, 0.483, 0.117], [0.000, 0.517, 0.617], [0.000, 0.216, 0.644], [0.000, 0.784, 0.144], [0.500, 0.070, 0.704], [0.500, 0.930, 0.204]], "magmom_total_mub_per_fu": 0.00, "space_group": "Pmc2_1", "formation_enthalpy_0k_ev_per_atom": -0.19}

---

{"formula": "Ac3In2Cu", "functional": "PBE-GGA", "state": "relaxed", "lattice": [[13.222, 0.000, 0.000], [0.000, 4.766, 0.000], [0.000, 0.000, 12.893]], "species": ["Ac", "Ac", "Ac", "Ac", "Ac", "Ac", "Ac", "Ac", "Ac", "Ac", "Ac", "Ac", "In", "In", "In", "In", "In", "In", "In", "In", "Cu", "Cu", "Cu", "Cu"], "frac_coords": [[0.051, 0.250, 0.127], [0.121, 0.750, 0.552], [0.227, 0.250, 0.795], [0.273, 0.750, 0.295], [0.379, 0.250, 0.052], [0.449, 0.750, 0.627], [0.551, 0.250, 0.373], [0.621, 0.750, 0.948], [0.727, 0.250, 0.705], [0.773, 0.750, 0.205], [0.879, 0.250, 0.448], [0.949, 0.750, 0.873], [0.016, 0.750, 0.313], [0.193, 0.750, 0.994], [0.307, 0.250, 0.494], [0.484, 0.250, 0.813], [0.516, 0.750, 0.187], [0.693, 0.750, 0.506], [0.807, 0.250, 0.006], [0.984, 0.250, 0.687], [0.124, 0.250, 0.370], [0.376, 0.750, 0.870], [0.624, 0.250, 0.130], [0.876, 0.750, 0.630]], "relative_energy_mev_per_atom": 0.0, "magmom_total_mub_per_fu": 0.00, "space_group": "Pnma", "formation_enthalpy_0k_ev_per_atom": -0.31}

---

{"formula": "Ac3In2Cu", "functional": "PBE-GGA", "state": "relaxed", "lattice": [[8.171, -3.442, 0.000], [8.171, 3.442, 0.000], [-1.499, 0.000, 6.965]], "species": ["Ac", "Ac", "Ac", "Ac", "Ac", "Ac", "In", "In", "In", "In", "Cu", "Cu"], "frac_coords": [[0.108, 0.892, 0.750], [0.238, 0.453, 0.411], [0.453, 0.238, 0.911], [0.547, 0.762, 0.089], [0.762, 0.547, 0.589], [0.892, 0.108, 0.250], [0.055, 0.291, 0.045], [0.291, 0.055, 0.545], [0.709, 0.945, 0.455], [0.945, 0.709, 0.955], [0.357, 0.643, 0.250], [0.643, 0.357, 0.750]], "relative_energy_mev_per_atom": 99.4, "magmom_total_mub_per_fu": 0.00, "space_group": "C2/c", "formation_enthalpy_0k_ev_per_atom": -0.21}

---

{"formula": "AcInCu", "functional": "PBE-GGA", "state": "relaxed", "lattice": [[4.809, 0.000, 0.000], [-2.405, 4.165, 0.000], [0.000, 0.000, 4.098]], "species": ["Ac", "In", "Cu"], "frac_coords": [[0.000, 0.000, 0.000], [0.667, 0.333, 0.500], [0.333, 0.667, 0.500]], "relative_energy_mev_per_atom": 31.9, "magmom_total_mub_per_fu": 0.00, "space_group": "P-6m2", "formation_enthalpy_0k_ev_per_atom": -0.29}

---

{"formula": "Ac2InCu3", "functional": "PBE-GGA", "state": "relaxed", "lattice": [[-2.122, 2.163, 8.290], [2.122, -2.163, 8.290], [2.122, 2.163, -8.290]], "species": ["Ac", "Ac", "In", "Cu", "Cu", "Cu"], "frac_coords": [[0.000, 0.000, 0.000], [0.773, 0.273, 0.500], [0.603, 0.603, 0.000], [0.195, 0.695, 0.500], [0.347, 0.847, 0.500], [0.430, 0.430, 0.000]], "relative_energy_mev_per_atom": 0.0, "magmom_total_mub_per_fu": 0.00, "space_group": "Imm2", "formation_enthalpy_0k_ev_per_atom": -0.22}

---

{"formula": "Ac2InCu9", "functional": "PBE-GGA", "state": "relaxed", "lattice": [[2.624, 1.515, 8.754], [-2.624, 1.515, 8.754], [0.000, -3.030, 8.754]], "species": ["Ac", "Ac", "In", "Cu", "Cu", "Cu", "Cu", "Cu", "Cu", "Cu", "Cu", "Cu"], "frac_coords": [[0.134, 0.134, 0.134], [0.866, 0.866, 0.866], [0.000, 0.000, 0.000], [0.078, 0.576, 0.576], [0.333, 0.333, 0.333], [0.424, 0.424, 0.922], [0.424, 0.922, 0.424], [0.500, 0.500, 0.500], [0.576, 0.078, 0.576], [0.576, 0.576, 0.078], [0.667, 0.667, 0.667], [0.922, 0.424, 0.424]], "magmom_total_mub_per_fu": 0.00, "space_group": "R-3m", "formation_enthalpy_0k_ev_per_atom": 0.01}

---

{"formula": "Ac11In9Cu4", "functional": "PBE-GGA", "state": "relaxed", "lattice": [[7.812, -11.791, 0.000], [7.812, 11.791, 0.000], [0.000, 0.000, 4.075]], "species": ["Ac", "Ac", "Ac", "Ac", "Ac", "Ac", "Ac", "Ac", "Ac", "Ac", "Ac", "In", "In", "In", "In", "In", "In", "In", "In", "In", "Cu", "Cu", "Cu", "Cu"], "frac_coords": [[0.000, 0.000, 0.000], [0.072, 0.415, 0.000], [0.163, 0.837, 0.000], [0.309, 0.309, 0.000], [0.373, 0.627, 0.000], [0.415, 0.072, 0.000], [0.585, 0.928, 0.000], [0.627, 0.373, 0.000], [0.691, 0.691, 0.000], [0.837, 0.163, 0.000], [0.928, 0.585, 0.000], [0.080, 0.219, 0.500], [0.162, 0.633, 0.500], [0.219, 0.080, 0.500], [0.367, 0.838, 0.500], [0.500, 0.500, 0.500], [0.633, 0.162, 0.500], [0.781, 0.920, 0.500], [0.838, 0.367, 0.500], [0.920, 0.781, 0.500], [0.249, 0.449, 0.500], [0.449, 0.249, 0.500], [0.551, 0.751, 0.500], [0.751, 0.551, 0.500]], "magmom_total_mub_per_fu": 0.00, "space_group": "Cmmm", "formation_enthalpy_0k_ev_per_atom": -0.36}

---

{"formula": "AcInCu", "functional": "PBE-GGA", "state": "relaxed", "lattice": [[8.101, 0.000, 0.000], [0.000, 4.970, 0.000], [0.000, 0.000, 7.792]], "species": ["Ac", "Ac", "Ac", "Ac", "In", "In", "In", "In", "Cu", "Cu", "Cu", "Cu"], "frac_coords": [[0.028, 0.250, 0.197], [0.472, 0.750, 0.697], [0.528, 0.250, 0.303], [0.972, 0.750, 0.803], [0.183, 0.250, 0.598], [0.317, 0.750, 0.098], [0.683, 0.250, 0.902], [0.817, 0.750, 0.402], [0.176, 0.750, 0.423], [0.324, 0.250, 0.923], [0.676, 0.750, 0.077], [0.824, 0.250, 0.577]], "relative_energy_mev_per_atom": 9.4, "magmom_total_mub_per_fu": 0.00, "space_group": "Pnma", "formation_enthalpy_0k_ev_per_atom": -0.31}

---

{"formula": "AcInCu3", "functional": "PBE-GGA", "state": "relaxed", "lattice": [[2.036, -12.592, 0.000], [2.036, 12.592, 0.000], [0.000, 0.000, 4.128]], "species": ["Ac", "Ac", "In", "In", "Cu", "Cu", "Cu", "Cu", "Cu", "Cu"], "frac_coords": [[0.080, 0.920, 0.750], [0.920, 0.080, 0.250], [0.207, 0.793, 0.250], [0.793, 0.207, 0.750], [0.312, 0.688, 0.250], [0.370, 0.630, 0.750], [0.472, 0.528, 0.750], [0.528, 0.472, 0.250], [0.630, 0.370, 0.250], [0.688, 0.312, 0.750]], "magmom_total_mub_per_fu": 0.00, "space_group": "Cmcm", "formation_enthalpy_0k_ev_per_atom": -0.11}

---

{"formula": "Ac3In7Cu4", "functional": "PBE-GGA", "state": "relaxed", "lattice": [[8.719, -2.357, 0.000], [8.719, 2.357, 0.000], [-5.910, 0.000, 8.379]], "species": ["Ac", "Ac", "Ac", "In", "In", "In", "In", "In", "In", "In", "Cu", "Cu", "Cu", "Cu"], "frac_coords": [[0.000, 0.000, 0.000], [0.309, 0.309, 0.295], [0.691, 0.691, 0.705], [0.000, 0.000, 0.500], [0.164, 0.164, 0.427], [0.332, 0.332, 0.971], [0.492, 0.492, 0.711], [0.508, 0.508, 0.289], [0.668, 0.668, 0.029], [0.836, 0.836, 0.573], [0.133, 0.133, 0.861], [0.340, 0.340, 0.718], [0.660, 0.660, 0.282], [0.867, 0.867, 0.139]], "magmom_total_mub_per_fu": 0.00, "space_group": "C2/m", "formation_enthalpy_0k_ev_per_atom": -0.30}

---

{"formula": "Ac2InCu", "functional": "PBE-GGA", "state": "relaxed", "lattice": [[3.877, 0.000, 0.000], [0.000, 3.877, 0.000], [0.000, 0.000, 8.254]], "species": ["Ac", "Ac", "In", "Cu"], "frac_coords": [[0.000, 0.000, 0.226], [0.000, 0.000, 0.774], [0.500, 0.500, 0.500], [0.500, 0.500, 0.000]], "magmom_total_mub_per_fu": 0.00, "space_group": "P4/mmm", "formation_enthalpy_0k_ev_per_atom": -0.24}

---

{"formula": "Ac3In9Cu2", "functional": "PBE-GGA", "state": "relaxed", "lattice": [[-2.416, 5.682, 6.841], [2.416, -5.682, 6.841], [2.416, 5.682, -6.841]], "species": ["Ac", "Ac", "Ac", "In", "In", "In", "In", "In", "In", "In", "In", "In", "Cu", "Cu"], "frac_coords": [[0.000, 0.000, 0.000], [0.320, 0.320, 0.000], [0.680, 0.680, 0.000], [0.027, 0.659, 0.368], [0.151, 0.873, 0.278], [0.291, 0.659, 0.632], [0.404, 0.127, 0.278], [0.500, 0.000, 0.500], [0.596, 0.873, 0.722], [0.709, 0.341, 0.368], [0.849, 0.127, 0.722], [0.973, 0.341, 0.632], [0.284, 0.500, 0.784], [0.716, 0.500, 0.216]], "magmom_total_mub_per_fu": 0.00, "space_group": "Immm", "formation_enthalpy_0k_ev_per_atom": -0.31}

---

{"formula": "Ac3In4Cu2", "functional": "PBE-GGA", "state": "relaxed", "lattice": [[5.796, -2.474, 0.000], [5.796, 2.474, 0.000], [-2.227, 0.000, 9.005]], "species": ["Ac", "Ac", "Ac", "In", "In", "In", "In", "Cu", "Cu"], "frac_coords": [[0.000, 0.000, 0.000], [0.376, 0.376, 0.313], [0.624, 0.624, 0.687], [0.105, 0.105, 0.414], [0.281, 0.281, 0.920], [0.719, 0.719, 0.080], [0.895, 0.895, 0.586], [0.329, 0.329, 0.652], [0.671, 0.671, 0.348]], "magmom_total_mub_per_fu": 0.00, "space_group": "C2/m", "formation_enthalpy_0k_ev_per_atom": -0.34}

---

{"formula": "Ac4In2Cu", "functional": "PBE-GGA", "state": "relaxed", "lattice": [[-2.813, 2.813, 8.608], [2.813, -2.813, 8.608], [2.813, 2.813, -8.608]], "species": ["Ac", "Ac", "Ac", "Ac", "In", "In", "Cu"], "frac_coords": [[0.000, 0.500, 0.500], [0.183, 0.183, 0.000], [0.500, 0.000, 0.500], [0.817, 0.817, 0.000], [0.375, 0.375, 0.000], [0.625, 0.625, 0.000], [0.000, 0.000, 0.000]], "magmom_total_mub_per_fu": 0.00, "space_group": "I4/mmm", "formation_enthalpy_0k_ev_per_atom": -0.09}